The following is a DFT calculation (PBE-GGA) of a relaxed KIr3F crystal.

```
data_KIr3F
_chemical_formula_sum 'K1 Ir3 F1'
_symmetry_space_group_name_H-M 'P m -3 m'
_symmetry_Int_Tables_number 221
_symmetry_space_group_name_Hall '-P 4 2 3'
_cell_length_a 4.917
_cell_length_b 4.917
_cell_length_c 4.917
_cell_angle_alpha 90.00
_cell_angle_beta 90.00
_cell_angle_gamma 90.00
loop_
_atom_site_label
_atom_site_fract_x
_atom_site_fract_y
_atom_site_fract_z
K1 0.000 0.000 0.000
Ir1 0.000 0.000 0.500
F1 0.500 0.500 0.500
```

The following is a DFT calculation (PBE-GGA) of a relaxed KIrF4 crystal.

```
data_KIrF4
_chemical_formula_sum 'K2 Ir2 F8'
_symmetry_space_group_name_H-M 'I -4 m 2'
_symmetry_Int_Tables_number 119
_symmetry_space_group_name_Hall 'I -4 -2'
_cell_length_a 6.515
_cell_length_b 6.515
_cell_length_c 6.374
_cell_angle_alpha 90.00
_cell_angle_beta 90.00
_cell_angle_gamma 90.00
loop_
_atom_site_label
_atom_site_fract_x
_atom_site_fract_y
_atom_site_fract_z
K1 0.000 0.000 0.000
Ir1 0.000 0.500 0.250
F1 0.209 0.291 0.250
```

The following is a DFT calculation (PBE-GGA) of a relaxed K2IrF crystal.

```
data_K2IrF
_chemical_formula_sum 'K8 Ir4 F4'
_symmetry_space_group_name_H-M 'I -4 2 d'
_symmetry_Int_Tables_number 122
_symmetry_space_group_name_Hall 'I -4 2bw'
_cell_length_a 7.591
_cell_length_b 7.591
_cell_length_c 8.718
_cell_angle_alpha 90.00
_cell_angle_beta 90.00
_cell_angle_gamma 90.00
loop_
_atom_site_label
_atom_site_fract_x
_atom_site_fract_y
_atom_site_fract_z
K1 0.160 0.250 0.125
Ir1 0.000 0.000 0.500
F1 0.000 0.000 0.000
```

The following is a DFT calculation (PBE-GGA) of a relaxed K3IrF8 crystal.

```
data_K3IrF8
_chemical_formula_sum 'K6 Ir2 F16'
_symmetry_space_group_name_H-M 'I 4/m m m'
_symmetry_Int_Tables_number 139
_symmetry_space_group_name_Hall '-I 4 2'
_cell_length_a 5.888
_cell_length_b 5.888
_cell_length_c 11.407
_cell_angle_alpha 90.00
_cell_angle_beta 90.00
_cell_angle_gamma 90.00
loop_
_atom_site_label
_atom_site_fract_x
_atom_site_fract_y
_atom_site_fract_z
K1 0.000 0.000 0.000
K2 0.000 0.500 0.250
Ir1 0.000 0.000 0.500
F1 0.200 0.200 0.397
```

Mass density (g/cm3)
8.86; 3.77; 3.83; 3.88
Formation energy without anion corrections (eV/atom)
3.2265; -1.7345; -0.2518; -2.1533
Magnetic moment (Bohr magnetons per cell)
4.86; 4.00; 8.00; 0.14